VASP calculation (GGA+U) on a geometry-optimized MnPdNF2 structure.

Geometry as POSCAR:
```
MnPdNF2
1.0
4.407 0.000 0.000
0.000 4.407 0.000
0.000 0.000 3.774
Mn Pd N F
1 1 1 2
Cartesian
0.000 0.000 0.000
2.204 2.204 1.887
2.204 2.204 0.000
0.000 2.204 1.887
2.204 0.000 1.887
```

Calculated values
The crystal system is tetragonal. As for the total magnetization: 5.0 μB/f.u. As for the density of states at the Fermi level: 2.11 states/eV/f.u. For the polymorph energy (0 for the lowest one), the calculation gives 223 meV/atom.